No. 1
Below is a geometry-optimized ErThP structure, with properties calculated at the PBE level.

Unit cell a=3.872 b=3.872 c=6.543 alpha=90.00 beta=90.00 gamma=120.00
Last column: magnetic moment on the atom in μB.
Fractional positions:
P 0.667 0.333 0.344  -0.01
Th 0.000 0.000 0.073  -0.08
Er 0.333 0.667 0.584  0.16

## Properties
Size of the total moment   0.071 μB per cell
Relative energy among the computed polymorphs   0 meV per atom
ΔH_f (0 K)   -0.852 eV/atom

No. 2
Below is a geometry-optimized LiSm2Th structure, with properties calculated at the PBE level.

Unit cell a=5.575 b=5.575 c=5.575 alpha=60.00 beta=60.00 gamma=60.00
Fractional positions:
Sm 0.750 0.750 0.750
Sm 0.250 0.250 0.250
Li 0.000 0.000 0.000
Th 0.500 0.500 0.500

## Properties
Size of the total moment   0.042 μB per cell
Relative energy among the computed polymorphs   232 meV per atom
ΔH_f (0 K)   0.279 eV/atom